Li2SiS | PBE-GGA | relaxed

Properties
raw formation energy	-3.23	eV/f.u.

Unit cell a=3.9103 b=3.9103 c=10.5833 alpha=100.81 beta=100.81 gamma=60.02
Positions (direct):
1 Li 0.0000 0.0000 0.0000
2 Li 0.2843 0.2843 0.8557
3 Li 0.3896 0.3896 0.1670
4 Li 0.5573 0.5573 0.6769
5 Si 0.4715 0.4715 0.4256
6 Si 0.8317 0.8317 0.5048
7 S 0.6818 0.6818 0.0450
8 S 0.9119 0.9119 0.7402

***

MgTa2Se | PBE-GGA | relaxed

Properties
raw formation energy	0.58	eV/f.u.

Unit cell a=5.2012 b=5.2012 c=5.1442 alpha=109.13 beta=109.13 gamma=35.19
Positions (direct):
1 Mg 0.0000 0.0000 0.0000
2 Ta 0.2162 0.2162 0.6930
3 Ta 0.4516 0.4516 0.4702
4 Se 0.7494 0.7494 0.1342

***

Pu2Al3Ga2 | PBE-GGA | relaxed

Properties
formation energy	-0.045	eV/atom

Unit cell a=5.9734 b=5.9734 c=7.4945 alpha=120.49 beta=120.49 gamma=34.32
Positions (direct):
1 Pu 0.1877 0.1877 0.3858
2 Pu 0.8123 0.8123 0.6142
3 Al 0.4260 0.4260 0.0752
4 Al 0.5000 0.5000 0.5000
5 Al 0.5740 0.5740 0.9248
6 Ga 0.1701 0.1701 0.7745
7 Ga 0.8299 0.8299 0.2255

***

PtICl | PBE-GGA | relaxed

Properties
raw formation energy	-0.47	eV/f.u.

Unit cell a=5.4444 b=5.6816 c=7.3059 alpha=102.73 beta=109.66 gamma=102.32
Positions (direct):
1 Pt 0.0000 0.0000 0.0000
2 Pt 0.3460 0.7163 0.0751
3 I 0.2200 0.8751 0.7498
4 I 0.8582 0.3797 0.9064
5 Cl 0.4411 0.6023 0.3693
6 Cl 0.7998 0.0169 0.2397

***

PuAsPb2 | PBE-GGA | relaxed

Properties
formation energy	0.303	eV/atom

Unit cell a=10.6205 b=10.6205 c=10.6205 alpha=20.19 beta=20.19 gamma=20.19
Positions (direct):
1 Pu 0.0000 0.0000 0.0000
2 As 0.5000 0.5000 0.5000
3 Pb 0.1035 0.1035 0.1035
4 Pb 0.8965 0.8965 0.8965

***

PuU2Si | PBE-GGA | relaxed

Properties
raw formation energy	0.64	eV/f.u.

Unit cell a=6.8971 b=6.8971 c=7.8529 alpha=90.00 beta=90.00 gamma=95.65
Positions (direct):
1 Pu 0.0812 0.9188 0.8094
2 Pu 0.4188 0.5812 0.3094
3 Pu 0.5812 0.4188 0.6906
4 Pu 0.9188 0.0812 0.1906
5 U 0.1478 0.8522 0.1062
6 U 0.1492 0.3508 0.2500
7 U 0.3508 0.1492 0.7500
8 U 0.3522 0.6478 0.6062
9 U 0.6478 0.3522 0.3938
10 U 0.6492 0.8508 0.2500
11 U 0.8508 0.6492 0.7500
12 U 0.8522 0.1478 0.8938
13 Si 0.1084 0.8916 0.4555
14 Si 0.3916 0.6084 0.9555
15 Si 0.6084 0.3916 0.0445
16 Si 0.8916 0.1084 0.5445

***

Ir5Se | PBE-GGA | relaxed

Properties
raw formation energy	1.82	eV/f.u.

Unit cell a=5.1941 b=5.1941 c=7.2827 alpha=113.49 beta=113.49 gamma=30.98
Positions (direct):
1 Ir 0.0000 0.0000 0.0000
2 Ir 0.0078 0.0078 0.6247
3 Ir 0.2955 0.2955 0.6816
4 Ir 0.5909 0.5909 0.3555
5 Ir 0.7162 0.7162 0.9451
6 Se 0.3277 0.3277 0.2648

***

Pu2PaGe3Pt4 | PBE-GGA | relaxed

Properties
formation energy	-0.681	eV/atom

Unit cell a=4.2636 b=4.2636 c=11.3255 alpha=90.00 beta=90.00 gamma=90.00
Positions (direct):
1 Pu 0.0000 0.5000 0.2344
2 Pu 0.5000 0.0000 0.7656
3 Pa 0.0000 0.0000 0.5000
4 Ge 0.0000 0.5000 0.8781
5 Ge 0.5000 0.0000 0.1219
6 Ge 0.5000 0.5000 0.5000
7 Pt 0.0000 0.0000 0.0000
8 Pt 0.0000 0.5000 0.6608
9 Pt 0.5000 0.0000 0.3392
10 Pt 0.5000 0.5000 0.0000

***

TaAlPdPt2 | PBE-GGA | relaxed

Properties
formation energy	0.981	eV/atom

Unit cell a=4.8775 b=4.8775 c=4.2423 alpha=90.00 beta=90.00 gamma=90.00
Positions (direct):
1 Ta 0.0000 0.0000 0.0000
2 Al 0.5000 0.5000 0.0000
3 Pd 0.5000 0.5000 0.5000
4 Pt 0.0000 0.5000 0.5000
5 Pt 0.5000 0.0000 0.5000

***

Pr2ScInO6 | PBE-GGA | relaxed

Properties
raw formation energy	-29.54	eV/f.u.

Unit cell a=5.6795 b=5.9262 c=9.9805 alpha=90.00 beta=124.60 gamma=90.00
Positions (direct):
1 Pr 0.2313 0.0574 0.2489
2 Pr 0.2313 0.4426 0.7489
3 Pr 0.7687 0.5574 0.2511
4 Pr 0.7687 0.9426 0.7511
5 Sc 0.5000 0.0000 0.0000
6 Sc 0.5000 0.5000 0.5000
7 In 0.0000 0.0000 0.5000
8 In 0.0000 0.5000 0.0000
9 O 0.1428 0.1944 0.9408
10 O 0.1428 0.3056 0.4408
11 O 0.2439 0.7042 0.9369
12 O 0.2439 0.7958 0.4369
13 O 0.3705 0.0459 0.7549
14 O 0.3705 0.4541 0.2549
15 O 0.6295 0.5459 0.7451
16 O 0.6295 0.9541 0.2451
17 O 0.7561 0.2042 0.5631
18 O 0.7561 0.2958 0.0631
19 O 0.8572 0.6944 0.5592
20 O 0.8572 0.8056 0.0592